Record 1
Compound: Nb21S8
Source: OQMD
Functional: PBE
Structure: relaxed

Cell and atoms, written as POSCAR:
```
Nb21S8
1.0
-2.6868 -1.8799 0.8059
5.1496 -10.8694 -1.1124
4.5567 1.2838 11.1125
Nb S
21 8
direct
0.0200 0.2581 0.2981
0.6354 0.9137 0.1845
0.3842 0.4305 0.1990
0.2781 0.7019 0.2581
0.9190 0.5313 0.3694
0.6158 0.5695 0.8010
0.1853 0.1990 0.5695
0.3646 0.0863 0.8155
0.4509 0.1845 0.0863
0.0810 0.4687 0.6306
0.8147 0.8010 0.4305
0.7219 0.2981 0.7419
0.5496 0.3694 0.4687
0.0000 0.0000 0.0000
0.4504 0.6306 0.5313
0.1983 0.9935 0.3900
0.8083 0.3900 0.0065
0.9800 0.7419 0.7019
0.5491 0.8155 0.9137
0.8017 0.0065 0.6100
0.1917 0.6100 0.9935
0.6357 0.1514 0.4228
0.1374 0.7986 0.0733
0.2129 0.4228 0.8486
0.0640 0.0733 0.2014
0.7871 0.5772 0.1514
0.9360 0.9267 0.7986
0.3643 0.8486 0.5772
0.8626 0.2014 0.9267
```

Calculated values
As for the crystal system: tetragonal. For the mass density, the calculation gives 7589 kg/m³. Its space-group type is I4/m (87). The calculation puts the energy at -9.002 eV/atom.



Record 2
Compound: NbS
Source: OQMD
Functional: PBE
Structure: relaxed

Cell and atoms, written as POSCAR:
```
NbS
1.0
3.1745 0.0000 0.0000
-1.5872 2.7492 0.0000
0.0000 0.0000 14.6336
S Nb
4 4
direct
0.6667 0.3333 0.1272
0.3333 0.6667 0.8728
0.6667 0.3333 0.3728
0.3333 0.6667 0.6272
0.3333 0.6667 0.2500
0.0000 0.0000 0.0000
0.6667 0.3333 0.7500
0.0000 0.0000 0.5000
```

Calculated values
As for the crystal system: hexagonal. For the mass density, the calculation gives 6500 kg/m³. Its space-group type is P6_3/mmc (194). The calculation puts the energy at -7.680 eV/atom.



Record 3
Compound: NbS2
Source: OQMD
Functional: PBE
Structure: relaxed

Cell and atoms, written as POSCAR:
```
NbS2
1.0
3.1741 0.4326 0.9952
1.0984 -1.4863 2.7965
6.4603 -18.6992 -12.4761
S Nb
4 2
direct
0.7405 0.5191 0.9336
0.2427 0.5147 0.5669
0.7405 0.5191 0.0664
0.2427 0.5147 0.4331
0.0729 0.8542 0.0000
0.5757 0.8487 0.5000
```

Calculated values
As for the crystal system: orthorhombic. For the mass density, the calculation gives 2290 kg/m³. Its space-group type is Amm2 (38). The calculation puts the energy at -7.131 eV/atom.



Record 4
Compound: NbS2
Source: OQMD
Functional: PBE
Structure: relaxed

Cell and atoms, written as POSCAR:
```
NbS2
1.0
1.6738 -11.6556 0.0000
1.6738 11.6556 0.0000
0.0000 0.0000 5.8009
S Nb
4 2
direct
0.9327 0.0673 0.2586
0.5671 0.4329 0.7577
0.0673 0.9327 0.2586
0.4329 0.5671 0.7577
0.0000 0.0000 0.9257
0.5000 0.5000 0.4239
```

Calculated values
As for the crystal system: orthorhombic. For the mass density, the calculation gives 2304 kg/m³. Its space-group type is Cmm2 (35). The calculation puts the energy at -7.132 eV/atom.



Record 5
Compound: NbS3
Source: OQMD
Functional: PBE
Structure: relaxed

Cell and atoms, written as POSCAR:
```
NbS3
1.0
-1.8866 -4.5349 -0.2618
3.0536 -1.2323 -0.6591
1.9149 -0.0725 9.0075
S Nb
6 2
direct
0.0646 0.7500 0.3207
0.5850 0.7500 0.3211
0.4150 0.2500 0.6789
0.7387 0.7500 0.9522
0.2613 0.2500 0.0478
0.9354 0.2500 0.6793
0.7877 0.2500 0.1609
0.2123 0.7500 0.8391
```

Calculated values
As for the crystal system: monoclinic. For the mass density, the calculation gives 4161 kg/m³. Its space-group type is P2_1/m (11). The calculation puts the energy at -6.351 eV/atom.



Record 6
Compound: NbS2
Source: OQMD
Functional: PBE
Structure: relaxed

Cell and atoms, written as POSCAR:
```
NbS2
1.0
-0.8093 -12.0722 19.7700
3.2002 0.7792 0.6068
0.7508 2.7718 1.7233
S Nb
4 2
direct
0.9324 0.2581 0.2581
0.0676 0.2581 0.2581
0.5676 0.7581 0.7581
0.4324 0.7581 0.7581
0.5000 0.4248 0.4248
0.0000 0.9248 0.9248
```

Calculated values
As for the crystal system: orthorhombic. For the mass density, the calculation gives 2316 kg/m³. Its space-group type is Fmm2 (42). The calculation puts the energy at -7.132 eV/atom.



Record 7
Compound: NbS
Source: OQMD
Functional: PBE
Structure: relaxed

Cell and atoms, written as POSCAR:
```
NbS
1.0
0.0000 2.7556 2.7556
2.7556 0.0000 2.7556
2.7556 2.7556 0.0000
Nb S
1 1
direct
0.0000 0.0000 0.0000
0.2500 0.2500 0.2500
```

Calculated values
As for the crystal system: cubic. For the mass density, the calculation gives 4959 kg/m³. Its space-group type is F-43m (216). The calculation puts the energy at -7.397 eV/atom.



Record 8
Compound: NbS3
Source: OQMD
Functional: PBE
Structure: relaxed

Cell and atoms, written as POSCAR:
```
NbS3
1.0
6.7879 0.0000 0.0000
0.0000 5.0060 0.0000
-0.0300 0.0000 18.6049
S Nb
24 8
direct
0.3858 0.1375 0.7809
0.8662 0.3624 0.2715
0.6328 0.4292 0.9161
0.1338 0.8624 0.2285
0.6326 0.8329 0.9193
0.6142 0.8625 0.2191
0.8662 0.1376 0.7715
0.8765 0.1623 0.0952
0.8770 0.9348 0.5960
0.6326 0.6671 0.4193
0.3858 0.3625 0.2809
0.8770 0.5652 0.0960
0.3674 0.3329 0.5807
0.6142 0.6375 0.7191
0.1338 0.6376 0.7285
0.1235 0.6623 0.4048
0.1235 0.8377 0.9048
0.1230 0.4348 0.9040
0.3674 0.1671 0.0807
0.8765 0.3377 0.5952
0.6328 0.0708 0.4161
0.3672 0.5708 0.0839
0.3672 0.9292 0.5839
0.1230 0.0652 0.4040
0.1489 0.1376 0.6779
0.8511 0.6376 0.8221
0.4026 0.6373 0.8266
0.8511 0.8624 0.3221
0.5974 0.1373 0.6734
0.5974 0.3627 0.1734
0.1489 0.3624 0.1779
0.4026 0.8627 0.3266
```

Calculated values
As for the crystal system: monoclinic. For the mass density, the calculation gives 3974 kg/m³. Its space-group type is P2_1/c (14). The calculation puts the energy at -6.376 eV/atom.



Record 9
Compound: NbSeS
Source: OQMD
Functional: PBE
Structure: relaxed

Cell and atoms, written as POSCAR:
```
NbSeS
1.0
3.4096 0.0000 0.0000
0.0000 11.9880 2.9596
0.0000 -11.9880 2.9596
S Se Nb
2 2 2
direct
0.0000 0.8060 0.6751
0.0000 0.6751 0.8060
0.5000 0.3130 0.1732
0.5000 0.1732 0.3130
0.5000 0.5879 0.5879
0.0000 0.0628 0.0628
```

Calculated values
As for the crystal system: orthorhombic. For the mass density, the calculation gives 2799 kg/m³. Its space-group type is Amm2 (38). The calculation puts the energy at -6.835 eV/atom.



Record 10
Compound: NbSeS
Source: OQMD
Functional: PBE
Structure: relaxed

Cell and atoms, written as POSCAR:
```
NbSeS
1.0
-1.8242 2.5085 1.4217
-1.0081 -1.3797 -2.9532
-6.7938 -8.5076 6.2940
S Se Nb
2 2 2
direct
0.3333 0.6667 0.1235
0.6667 0.3333 0.6235
0.3333 0.6667 0.3825
0.6667 0.3333 0.8825
0.0000 0.0000 0.7440
0.0000 0.0000 0.2440
```

Calculated values
As for the crystal system: hexagonal. For the mass density, the calculation gives 5342 kg/m³. Its space-group type is P6_3mc (186). The calculation puts the energy at -6.833 eV/atom.



Record 11
Compound: Nb2SeS3
Source: OQMD
Functional: PBE
Structure: relaxed

Cell and atoms, written as POSCAR:
```
Nb2SeS3
1.0
-10.0805 -0.7564 -5.0944
-9.5734 -4.0434 -4.4881
-2.6625 0.5462 5.1881
Nb Se S
2 1 3
direct
0.4985 0.4985 0.4157
0.9980 0.9980 0.9335
0.5754 0.5754 0.7578
0.4317 0.4317 0.7556
0.9278 0.9278 0.2609
0.0686 0.0686 0.2586
```

Calculated values
As for the crystal system: monoclinic. For the mass density, the calculation gives 2705 kg/m³. Its space-group type is Cm (8). The calculation puts the energy at -6.985 eV/atom.



Record 12
Compound: Nb2SeS3
Source: OQMD
Functional: PBE
Structure: relaxed

Cell and atoms, written as POSCAR:
```
Nb2SeS3
1.0
-2.6113 1.7756 -1.1918
-2.6545 -1.5961 -1.3410
-9.9809 -0.7880 20.6970
S Nb Se
3 2 1
direct
0.7419 0.7419 0.0691
0.2419 0.2419 0.5676
0.2419 0.2419 0.4324
0.0752 0.0752 0.0038
0.5752 0.5752 0.5000
0.7419 0.7419 0.9272
```

Calculated values
As for the crystal system: monoclinic. For the mass density, the calculation gives 2642 kg/m³. Its space-group type is Cm (8). The calculation puts the energy at -6.979 eV/atom.